Arrangement one

Material: LiPmEr2
Method: DFT, PBE
State: optimized geometry

abc: 3.6909 5.6373 5.6373
angles: 90.00 90.00 90.00
Element x y z (fractional)
Pm  0.5000  0.5000  0.5000
Li  0.5000  0.0000  0.0000
Er  0.0000  0.0000  0.5000
Er  0.0000  0.5000  0.0000

Summary:
Theoretical density ... 6.9 g/cm³
Density of states at the Fermi level ... 5.8 states/eV per cell

---

Arrangement two

Material: LiPmEr2
Method: DFT, PBE
State: optimized geometry

abc: 3.4666 3.4666 12.2850
angles: 81.89 81.89 60.00
Element x y z (fractional)
Pm  0.5000  0.5000  0.5000
Li  0.0000  0.0000  0.0000
Er  0.0880  0.0880  0.7360
Er  0.9120  0.9120  0.2640

Summary:
Theoretical density ... 6.4 g/cm³
Density of states at the Fermi level ... 5.8 states/eV per cell

---

Q: What are the energies relative to the best structure? A: arrangement one 0.0; arrangement two 1.8, in kJ/mol of atoms.

---

Arrangement one

Material: LiEr2Pt3
Method: DFT, PBE
State: optimized geometry

abc: 3.4531 3.4531 9.3152
angles: 90.00 90.00 90.00
Element x y z (fractional)
Li  0.5000  0.5000  0.5000
Er  0.5000  0.5000  0.8138
Er  0.5000  0.5000  0.1862
Pt  0.0000  0.0000  0.0000
Pt  0.0000  0.0000  0.6476
Pt  0.0000  0.0000  0.3524

Summary:
Theoretical density ... 13.9 g/cm³
Density of states at the Fermi level ... 1.5 states/eV per cell

---

Arrangement two

Material: LiEr2Pt3
Method: DFT, PBE
State: optimized geometry

abc: 4.3746 5.1703 5.5873
angles: 84.95 90.00 115.03
Element x y z (fractional)
Li  0.0000  0.0000  0.0000
Er  0.6918  0.3836  0.2751
Er  0.3082  0.6164  0.7249
Pt  0.0000  0.0000  0.5000
Pt  0.6104  0.2207  0.7885
Pt  0.3896  0.7793  0.2115

Summary:
Theoretical density ... 13.5 g/cm³
Density of states at the Fermi level ... 2.0 states/eV per cell

---

Q: What are the energies relative to the best structure? A: arrangement one 1.3; arrangement two 0.0, in kJ/mol of atoms.

---

Arrangement one

Material: LiErPt
Method: DFT, PBE
State: optimized geometry

abc: 3.6159 4.2781 4.2781
angles: 120.00 90.00 90.00
Element x y z (fractional)
Li  0.1668  0.0000  0.0000
Pt  0.1667  0.3333  0.6667
Er  0.6666  0.6667  0.3333

Summary:
Theoretical density ... 10.7 g/cm³
Density of states at the Fermi level ... 1.6 states/eV per cell

---

Arrangement two

Material: LiErPt
Method: DFT, PBE
State: optimized geometry

abc: 4.5676 4.5676 4.5676
angles: 60.00 60.00 60.00
Element x y z (fractional)
Li  0.5000  0.5000  0.5000
Pt  0.2500  0.2500  0.2500
Er  0.0000  0.0000  0.0000

Summary:
Theoretical density ... 9.1 g/cm³
Density of states at the Fermi level ... 0.9 states/eV per cell

---

Q: What are the energies relative to the best structure? A: arrangement one 0.0; arrangement two 0.5, in kJ/mol of atoms.

---

Arrangement one

Material: LiErPu
Method: DFT, PBE
State: optimized geometry

abc: 3.3013 3.3013 7.6058
angles: 102.53 102.53 90.00
Each line ends with the local moment (μB).
Element x y z (fractional)
Er  0.3368  0.3368  0.6737  0.03
Li  0.0010  0.0010  0.0019  -0.01
Pu  0.6622  0.6622  0.3244  -5.61

Summary:
Theoretical density ... 8.8 g/cm³
Density of states at the Fermi level ... 8.6 states/eV per cell

---

Arrangement two

Material: LiErPu
Method: DFT, PBE
State: optimized geometry

abc: 3.3467 3.3467 8.2883
angles: 90.00 90.00 120.00
Each line ends with the local moment (μB).
Element x y z (fractional)
Er  0.6667  0.3333  0.3363  0.06
Li  0.3333  0.6667  0.6669  -0.01
Pu  0.0000  0.0000  0.9968  -5.52

Summary:
Theoretical density ... 8.6 g/cm³
Density of states at the Fermi level ... 9.0 states/eV per cell

---

Q: What are the energies relative to the best structure? A: arrangement one 1.2; arrangement two 0.0, in kJ/mol of atoms.

---

Arrangement one

Material: LiEr2Pu
Method: DFT, PBE
State: optimized geometry

abc: 3.4330 3.4330 11.1456
angles: 81.15 81.15 60.01
Each line ends with the local moment (μB).
Element x y z (fractional)
Li  0.6665  0.6665  0.0003  -0.01
Er  0.0822  0.0822  0.7542  0.09
Er  0.2510  0.2510  0.2458  0.12
Pu  0.5003  0.5003  0.4997  5.55

Summary:
Theoretical density ... 8.7 g/cm³
Density of states at the Fermi level ... 9.9 states/eV per cell

---

Arrangement two

Material: LiEr2Pu
Method: DFT, PBE
State: optimized geometry

abc: 3.4416 3.4416 9.1075
angles: 90.00 90.00 90.00
Each line ends with the local moment (μB).
Element x y z (fractional)
Er  0.0000  0.0000  0.7630  -0.20
Er  0.0000  0.0000  0.2370  -0.20
Li  0.5000  0.5000  0.0000  0.00
Pu  0.5000  0.5000  0.5000  -5.44

Summary:
Theoretical density ... 9.0 g/cm³
Density of states at the Fermi level ... 9.5 states/eV per cell

---

Q: What are the energies relative to the best structure? A: arrangement one 2.5; arrangement two 0.0, in kJ/mol of atoms.

---

Arrangement one

Material: LiEr2Rh3
Method: DFT, PBE
State: optimized geometry

abc: 4.6201 4.6201 11.3566
angles: 90.00 90.00 120.00
Element x y z (fractional)
Li  0.3333  0.6667  0.6620
Li  0.6667  0.3333  0.3380
Er  0.0000  0.0000  0.5000
Er  0.3333  0.6667  0.1865
Er  0.6667  0.3333  0.8135
Er  0.0000  0.0000  0.0000
Rh  0.3333  0.6667  0.4242
Rh  0.6667  0.3333  0.0864
Rh  0.0000  0.0000  0.7459
Rh  0.0000  0.0000  0.2541
Rh  0.3333  0.6667  0.9136
Rh  0.6667  0.3333  0.5758

Summary:
Theoretical density ... 10.3 g/cm³
Density of states at the Fermi level ... 4.1 states/eV per cell

---

Arrangement two

Material: LiEr2Rh3
Method: DFT, PBE
State: optimized geometry

abc: 3.3303 3.3303 9.4290
angles: 90.00 90.00 90.00
Element x y z (fractional)
Li  0.5000  0.5000  0.5000
Er  0.5000  0.5000  0.8145
Er  0.5000  0.5000  0.1855
Rh  0.0000  0.0000  0.0000
Rh  0.0000  0.0000  0.6487
Rh  0.0000  0.0000  0.3513

Summary:
Theoretical density ... 10.3 g/cm³
Density of states at the Fermi level ... 3.0 states/eV per cell

---

Q: What are the energies relative to the best structure? A: arrangement one 0.0; arrangement two 3.6, in kJ/mol of atoms.